# Sc3CdO, relaxed, DFT GGA-PBE
# **Density of states at the Fermi level**: 1.16 states/eV/f.u.
# **Energy**: -6.305 eV per atom
data_Sc3CdO
_cell_length_a 6.2931
_cell_length_b 6.2931
_cell_length_c 5.2787
_cell_angle_alpha 90.00
_cell_angle_beta 90.00
_cell_angle_gamma 120.00
_space_group_name_H-M_alt 'P 63/m m c'
_space_group_IT_number 194
_space_group_name_Hall '-P 6c 2c'
loop_
_atom_site_label
_atom_site_type_symbol
_atom_site_fract_x
_atom_site_fract_y
_atom_site_fract_z
Sc1 Sc 0.1655 0.3311 0.2500
Cd1 Cd 0.3333 0.6667 0.7500
O1 O 0.0000 0.0000 0.0000